LiPmTlAg after structural relaxation. Source: the Alexandria database, functional PBE.

Lattice parameters (Å, degrees): 7.0522 7.0522 7.0522 90.00 90.00 90.00
Closest atoms and distances in Å follow each position.
Space group F-43m (No. 216)
Symmetry-distinct sites (fractional):
Li: 0.0000 0.0000 0.0000 x4  4 Tl 3.05, 4 Pm 3.05
Pm: 0.2500 0.2500 0.7500 x4  4 Li 3.05, 4 Ag 3.05
Tl: 0.2500 0.2500 0.2500 x4  4 Li 3.05, 4 Ag 3.05
Ag: 0.0000 0.0000 0.5000 x4  4 Tl 3.05, 4 Pm 3.05

## Properties
Density of states at the Fermi level: 1.1 states/eV/f.u.
Calculated formation energy: -0.29 eV per atom
Total moment: 0.00 μB per cell
Calculated volume: 21.921 Å³ per atom